A plane-wave DFT calculation with PBE-GGA was carried out for an optimized crystal structure of CdHgS2. Values from VASP.

Values from the calculation:
- Mass density: 5.155 g cm⁻³
- Crystal system: monoclinic
- N(E_F): 0.000 states/eV/cell
- Volume: 30.37 Å³ per atom
- Uncorrected energy: -0.1976 Ry per atom

```
&SYSTEM
  ibrav = 0, nat = 16, ntyp = 3
/
ATOMIC_SPECIES
S 32.06 S.upf
Hg 200.59 Hg.upf
Cd 112.41 Cd.upf
CELL_PARAMETERS angstrom
16.127 0.000 1.684
0.000 4.214 0.000
-5.263 0.000 6.600
ATOMIC_POSITIONS angstrom
S 5.415 1.054 2.624
S 0.017 3.161 1.518
S 1.648 1.054 5.073
S 9.217 3.161 3.211
S -1.478 3.161 5.669
S 10.847 1.054 6.766
S 5.450 3.161 5.660
S 12.343 1.054 2.615
Hg 0.920 3.161 3.848
Hg 11.615 3.161 1.390
Hg 9.945 1.054 4.436
Hg -0.750 1.054 6.894
Cd 4.145 1.054 5.001
Cd 6.720 3.161 3.283
Cd 14.840 1.054 2.543
Cd -3.975 3.161 5.741
```